1.
11
Lattice="3.988 0.000 0.000 0.000 4.083 0.000 0.000 0.000 13.628" Properties=species:S:1:pos:R:3 comment="Tb4Si7 | the Alexandria database | PBE-GGA | optimized geometry" raw_formation_energy_ev_per_atom=-0.598 e_above_lowest_polymorph_kj_per_mol_fu=14 pbc="T T T"
Tb 0.000 0.000 0.000
Tb 0.000 2.041 3.402
Tb 1.994 0.000 10.268
Tb 1.994 2.041 6.798
Si 0.000 0.000 5.644
Si 0.000 0.000 7.971
Si 0.000 2.041 9.111
Si 0.000 2.041 11.459
Si 1.994 0.000 2.120
Si 1.994 0.000 4.418
Si 1.994 2.041 12.809

---

2.
5
Lattice="4.957 0.000 0.000 0.000 4.957 0.000 0.000 0.000 4.590" Properties=species:S:1:pos:R:3 comment="VNiIr2Pb | the Alexandria database | PBE-GGA | optimized geometry" final_energy_ev_per_atom=-5.134 pbc="T T T"
V 0.000 0.000 0.000
Ni 2.478 2.478 0.000
Ir 0.000 2.478 2.295
Ir 2.478 0.000 2.295
Pb 2.478 2.478 2.295

---

3.
5
Lattice="5.535 0.000 0.000 0.000 5.535 0.000 0.000 0.000 5.470" Properties=species:S:1:pos:R:3 comment="CsCdPdPb2 | the Alexandria database | PBE-GGA | optimized geometry" final_energy_ev_per_atom=-2.905 pbc="T T T"
Cs 0.000 0.000 0.000
Cd 2.767 2.767 0.000
Pd 2.767 2.767 2.735
Pb 0.000 2.767 2.735
Pb 2.767 0.000 2.735

---

4.
4
Lattice="-1.980 1.980 4.040 1.980 -1.980 4.040 1.980 1.980 -4.040" Properties=species:S:1:pos:R:3 comment="Al2FeHg | the Alexandria database | PBE-GGA | optimized geometry" final_energy_ev_per_atom=-3.933 pbc="T T T"
Al 1.980 0.000 2.020
Al 0.000 1.980 2.020
Fe 0.000 0.000 0.000
Hg 0.000 0.000 4.040